# 1
## Cs2NdHgI6 (PBE-GGA)

Data for a relaxed Cs2NdHgI6 crystal.

Properties
ρ, g cm⁻³: 4.5
Total DFT energy (no corrections), eV per cell: -55.6
ΔE_f (raw), meV per atom: -1174

abc: 9.0050 12.6664 8.9677
angles: 90.00 90.00 90.00
Last column: nearest neighbours and their distance in Å.
Sites, in units of the cell vectors:
Cs 0.2500 0.0070 0.2448  12 I 4.41-4.60
Cs 0.2500 0.4930 0.2448  12 I 4.41-4.60
Cs 0.7500 0.5070 0.7552  12 I 4.41-4.60
Cs 0.7500 0.9930 0.7552  12 I 4.41-4.60
Nd 0.2500 0.2500 0.7484  6 I 3.11
Nd 0.7500 0.7500 0.2516  6 I 3.11
Hg 0.2500 0.7500 0.7501  6 I 3.22-3.25
Hg 0.7500 0.2500 0.2499  6 I 3.22-3.25
I 0.0048 0.2500 0.9931  1 Nd 3.11, 1 Hg 3.25
I 0.0080 0.2500 0.5009  1 Nd 3.11, 1 Hg 3.24
I 0.2500 0.0043 0.7524  1 Nd 3.11, 1 Hg 3.22
I 0.2500 0.4957 0.7524  1 Nd 3.11, 1 Hg 3.22
I 0.4920 0.2500 0.5009  1 Nd 3.11, 1 Hg 3.24
I 0.4952 0.2500 0.9931  1 Nd 3.11, 1 Hg 3.25
I 0.5048 0.7500 0.0069  1 Nd 3.11, 1 Hg 3.25
I 0.5080 0.7500 0.4991  1 Nd 3.11, 1 Hg 3.24
I 0.7500 0.5043 0.2476  1 Nd 3.11, 1 Hg 3.22
I 0.7500 0.9957 0.2476  1 Nd 3.11, 1 Hg 3.22
I 0.9920 0.7500 0.4991  1 Nd 3.11, 1 Hg 3.24
I 0.9952 0.7500 0.0069  1 Nd 3.11, 1 Hg 3.25

# 2
## ThSnAu4 (PBE-GGA)

Data for a relaxed ThSnAu4 crystal.

Properties
ρ, g cm⁻³: 13.9
Excess energy over the best structure of this formula in the dataset, meV per atom: 2
Total DFT energy (no corrections), eV per cell: -53.1
Energy relative to the elements, meV/atom: -336

abc: 6.5419 6.5419 6.8592
angles: 102.76 102.76 74.13
Last column: nearest neighbours and their distance in Å.
Sites, in units of the cell vectors:
Th 0.1576 0.1576 0.2583  8 Au 3.07-3.31, 1 Sn 3.29
Th 0.8424 0.8424 0.7417  8 Au 3.07-3.31, 1 Sn 3.29
Sn 0.3924 0.3924 0.6928  7 Au 2.82-2.97
Sn 0.6076 0.6076 0.3072  7 Au 2.82-2.97
Au 0.1426 0.1426 0.7783  6 Au 2.76-3.06, 1 Sn 2.83, 1 Th 3.07
Au 0.1976 0.5627 0.0652  6 Au 2.76-3.06, 2 Sn 2.88-2.97
Au 0.2420 0.7580 0.5000  4 Au 2.82-2.96, 2 Sn 2.82
Au 0.4373 0.8024 0.9348  6 Au 2.76-3.06, 2 Sn 2.88-2.97
Au 0.5627 0.1976 0.0652  6 Au 2.76-3.06, 2 Sn 2.88-2.97
Au 0.7580 0.2420 0.5000  4 Au 2.82-2.96, 2 Sn 2.82
Au 0.8024 0.4373 0.9348  6 Au 2.76-3.06, 2 Sn 2.88-2.97
Au 0.8574 0.8574 0.2217  6 Au 2.76-3.06, 1 Sn 2.83, 1 Th 3.07

# 3
## PmMg4In2 (PBE-GGA)

Data for a relaxed PmMg4In2 crystal.

Properties
ρ, g cm⁻³: 4.5
Total DFT energy (no corrections), eV per cell: -36.0
Energy relative to the elements, meV/atom: -196

abc: 8.6436 8.6436 4.6690
angles: 90.00 90.00 90.00
Last column: nearest neighbours and their distance in Å.
Sites, in units of the cell vectors:
Pm 0.0000 0.0000 0.0000  6 In 3.40-3.64, 4 Mg 3.71
Pm 0.5000 0.5000 0.5000  6 In 3.40-3.64, 4 Mg 3.71
Mg 0.0993 0.3454 0.5000  3 In 2.89-2.92, 2 Mg 3.01-3.18
Mg 0.1546 0.5993 0.0000  3 In 2.89-2.92, 2 Mg 3.01-3.18
Mg 0.3454 0.0993 0.5000  3 In 2.89-2.92, 2 Mg 3.01-3.18
Mg 0.4007 0.8454 0.0000  3 In 2.89-2.92, 2 Mg 3.01-3.18
Mg 0.5993 0.1546 0.0000  3 In 2.89-2.92, 2 Mg 3.01-3.18
Mg 0.6546 0.9007 0.5000  3 In 2.89-2.92, 2 Mg 3.01-3.18
Mg 0.8454 0.4007 0.0000  3 In 2.89-2.92, 2 Mg 3.01-3.18
Mg 0.9007 0.6546 0.5000  3 In 2.89-2.92, 2 Mg 3.01-3.18
In 0.2026 0.7974 0.5000  6 Mg 2.89-2.92
In 0.2974 0.2974 0.0000  6 Mg 2.89-2.92
In 0.7026 0.7026 0.0000  6 Mg 2.89-2.92
In 0.7974 0.2026 0.5000  6 Mg 2.89-2.92

# 4
## BeAgSb2 (PBE-GGA)

Data for a relaxed BeAgSb2 crystal.

Properties
ρ, g cm⁻³: 6.9
Total DFT energy (no corrections), eV per cell: -13.8
ΔE_f (raw), meV per atom: 262

abc: 7.0617 7.0617 7.0617
angles: 153.81 145.87 43.52
Last column: nearest neighbours and their distance in Å.
Sites, in units of the cell vectors:
Be 0.0000 0.0000 0.0000  4 Ag 2.62, 4 Sb 2.62
Ag 0.5000 0.5000 0.0000  4 Be 2.62, 4 Sb 2.93
Sb 0.1580 0.6580 0.5000  2 Be 2.62, 2 Ag 2.93
Sb 0.8420 0.3420 0.5000  2 Be 2.62, 2 Ag 2.93

# 5
## TiNiOs (PBE-GGA)

Data for a relaxed TiNiOs crystal.

Properties
ρ, g cm⁻³: 12.0
Excess energy over the best structure of this formula in the dataset, meV per atom: 95
Total DFT energy (no corrections), eV per cell: -51.8
Energy relative to the elements, meV/atom: -339

abc: 4.6719 4.6719 5.2427
angles: 105.97 105.97 48.84
Last column: nearest neighbours and their distance in Å.
Sites, in units of the cell vectors:
Ti 0.0000 0.0000 0.0000  6 Ni 2.57-2.87, 4 Os 2.62-2.64, 2 Ti 2.86
Ti 0.7022 0.7022 0.3533  5 Ni 2.59-2.83, 5 Os 2.62-2.71, 2 Ti 2.86
Ni 0.3534 0.3534 0.1718  6 Ti 2.60-2.87, 4 Os 2.60-2.75, 2 Ni 2.68
Ni 0.6829 0.6829 0.8506  5 Ti 2.57-2.74, 5 Os 2.68-2.73, 2 Ni 2.68
Os 0.0292 0.0292 0.5128  3 Os 2.61-2.74, 5 Ti 2.62-2.71, 4 Ni 2.68-2.75
Os 0.3515 0.3515 0.6740  5 Ni 2.60-2.73, 3 Os 2.61-2.74, 4 Ti 2.62-2.63

# 6
## Si2Sb2Se (PBE-GGA)

Data for a relaxed Si2Sb2Se crystal.

Properties
ρ, g cm⁻³: 5.6
Excess energy over the best structure of this formula in the dataset, meV per atom: 0
Total DFT energy (no corrections), eV per cell: -21.3
ΔE_f (raw), meV per atom: 254

abc: 5.7064 5.7064 5.7064
angles: 127.62 127.62 77.24
Last column: nearest neighbours and their distance in Å.
Sites, in units of the cell vectors:
Si 0.1321 0.1321 0.0000  1 Si 2.36
Si 0.8679 0.8679 0.0000  1 Si 2.36
Sb 0.2500 0.7500 0.5000  4 Si 2.73
Sb 0.7500 0.2500 0.5000  4 Si 2.73
Se 0.5000 0.5000 0.0000  2 Si 3.28, 8 Sb 3.36

# 7
## KTlRe (PBE-GGA)

Data for a relaxed KTlRe crystal.

Properties
ρ, g cm⁻³: 7.8
Excess energy over the best structure of this formula in the dataset, meV per atom: 607
Total DFT energy (no corrections), eV per cell: -10.9
Energy relative to the elements, meV/atom: 1678

abc: 5.0547 5.0547 5.0547
angles: 60.00 60.00 60.00
Last column: nearest neighbours and their distance in Å.
Sites, in units of the cell vectors:
K 0.0000 0.0000 0.0000  4 Re 3.10
Tl 0.5000 0.5000 0.5000  4 Re 3.10
Re 0.2500 0.2500 0.2500  4 Tl 3.10, 4 K 3.10

# 8
## CrTe2I (PBE-GGA)

Data for a relaxed CrTe2I crystal.

Properties
ρ, g cm⁻³: 4.9
Excess energy over the best structure of this formula in the dataset, meV per atom: 268
Total DFT energy (no corrections), eV per cell: -34.5
ΔE_f (raw), meV per atom: 55

abc: 5.9831 7.2028 8.0700
angles: 114.28 95.00 108.09
Last column: nearest neighbours and their distance in Å.
Sites, in units of the cell vectors:
Cr 0.0000 0.0000 0.0000  1 Cr 1.88
Cr 0.1958 0.9029 0.1119  1 Cr 1.88
Te 0.0177 0.1877 0.3753  2 Cr 2.74-2.83, 2 Te 2.89-2.92
Te 0.2525 0.4257 0.1793  1 Cr 2.62, 2 Te 2.80-2.92
Te 0.5488 0.2145 0.4027  1 Cr 2.62, 1 Te 2.89
Te 0.8812 0.5219 0.0399  1 Cr 2.59, 1 Te 2.80
I 0.0225 0.8995 0.6582  1 Cr 2.58
I 0.4975 0.7707 0.9018  2 Cr 2.70-2.80

Number 1: M_tot 0.00 μB per formula unit. Number 2: M_tot 0.00 μB per formula unit. Number 3: M_tot 0.00 μB per formula unit. Number 4: M_tot 0.00 μB per formula unit. Number 5: M_tot 0.00 μB per formula unit. Number 6: M_tot 0.00 μB per formula unit. Number 7: M_tot 3.02 μB per formula unit. Number 8: M_tot 0.00 μB per formula unit.